[1]
Ni2AgOs | GGA-PBEsol | optimized geometry

a = 8.369 Å, b = 2.600 Å, c = 4.840 Å
α = 90.00°, β = 97.93°, γ = 90.00°
Atoms (fractional coordinates):
Ni: 0.245 0.000 0.218
Ni: 0.255 0.500 0.782
Ni: 0.745 0.500 0.218
Ni: 0.755 0.000 0.782
Ag: 0.000 0.000 0.500
Ag: 0.500 0.500 0.500
Os: 0.000 0.500 0.000
Os: 0.500 0.000 0.000

Values from the calculation:
* calculated total energy: -52.59 eV/cell
* formation energy: 387 meV/atom
* symmetry: C2/m
* energy above the most stable polymorph in this dataset: 0 meV/atom
* total magnetic moment: 0.000 μB per atom

[2]
NbSi2NiP | GGA-PBEsol | optimized geometry

a = 4.337 Å, b = 4.337 Å, c = 4.490 Å
α = 90.00°, β = 90.00°, γ = 90.00°
Atoms (fractional coordinates):
Nb: 0.000 0.000 0.000
Si: 0.000 0.500 0.500
Si: 0.500 0.000 0.500
Ni: 0.500 0.500 0.000
P: 0.000 0.000 0.500

Values from the calculation:
* calculated total energy: -29.97 eV/cell
* symmetry: P4/mmm
* total magnetic moment: 0.000 μB per atom

[3]
V5Ge3B | GGA-PBEsol | optimized geometry

a = 7.254 Å, b = 7.254 Å, c = 4.872 Å
α = 90.00°, β = 90.00°, γ = 120.00°
Atoms (fractional coordinates):
V: 0.000 0.244 0.250
V: 0.000 0.756 0.750
V: 0.244 0.000 0.250
V: 0.244 0.244 0.750
V: 0.333 0.667 0.000
V: 0.333 0.667 0.500
V: 0.667 0.333 0.000
V: 0.667 0.333 0.500
V: 0.756 0.000 0.750
V: 0.756 0.756 0.250
Ge: 0.000 0.399 0.750
Ge: 0.000 0.601 0.250
Ge: 0.399 0.000 0.750
Ge: 0.399 0.399 0.250
Ge: 0.601 0.000 0.250
Ge: 0.601 0.601 0.750
B: 0.000 0.000 0.000
B: 0.000 0.000 0.500

Values from the calculation:
* calculated total energy: -149.57 eV/cell
* formation energy: -531 meV/atom
* symmetry: P6_3/mcm
* total magnetic moment: 0.000 μB per atom

[4]
CsTlBr3 | GGA-PBEsol | optimized geometry

a = 8.131 Å, b = 8.131 Å, c = 8.131 Å
α = 60.00°, β = 60.00°, γ = 60.00°
Atoms (fractional coordinates):
Cs: 0.250 0.250 0.250
Cs: 0.750 0.750 0.750
Tl: 0.000 0.000 0.000
Tl: 0.500 0.500 0.500
Br: 0.241 0.241 0.759
Br: 0.241 0.759 0.241
Br: 0.241 0.759 0.759
Br: 0.759 0.241 0.241
Br: 0.759 0.241 0.759
Br: 0.759 0.759 0.241

Values from the calculation:
* calculated total energy: -29.26 eV/cell
* symmetry: Fm-3m
* total magnetic moment: 0.000 μB per atom

[5]
Li4MoO5 | GGA-PBEsol | optimized geometry

a = 5.031 Å, b = 5.072 Å, c = 7.645 Å
α = 108.45°, β = 102.01°, γ = 101.28°
Atoms (fractional coordinates):
Li: 0.000 0.000 0.000
Li: 0.077 0.191 0.702
Li: 0.191 0.387 0.389
Li: 0.282 0.597 0.096
Li: 0.500 0.000 0.500
Li: 0.718 0.403 0.904
Li: 0.809 0.613 0.611
Li: 0.923 0.809 0.298
Mo: 0.395 0.773 0.782
Mo: 0.605 0.227 0.218
O: 0.075 0.609 0.845
O: 0.168 0.811 0.573
O: 0.276 0.011 0.248
O: 0.368 0.179 0.959
O: 0.450 0.426 0.662
O: 0.550 0.574 0.338
O: 0.632 0.821 0.041
O: 0.724 0.989 0.752
O: 0.832 0.189 0.427
O: 0.925 0.391 0.155

Values from the calculation:
* calculated total energy: -134.88 eV/cell
* symmetry: P-1
* energy above the most stable polymorph in this dataset: 0 meV/atom
* total magnetic moment: 0.000 μB per atom

[6]
BaSrMg | GGA-PBEsol | optimized geometry

a = 4.219 Å, b = 4.219 Å, c = 14.716 Å
α = 90.00°, β = 90.00°, γ = 90.00°
Atoms (fractional coordinates):
Ba: 0.000 0.000 0.000
Ba: 0.500 0.500 0.500
Sr: 0.000 0.000 0.717
Sr: 0.500 0.500 0.217
Mg: 0.000 0.000 0.351
Mg: 0.500 0.500 0.851

Values from the calculation:
* calculated total energy: -11.64 eV/cell
* formation energy: -38 meV/atom
* symmetry: I4mm
* energy above the most stable polymorph in this dataset: 0 meV/atom
* total magnetic moment: 0.000 μB per atom

[7]
MgCuRu3 | GGA-PBEsol | optimized geometry

a = 4.418 Å, b = 4.418 Å, c = 4.418 Å
α = 90.00°, β = 90.00°, γ = 90.00°
Atoms (fractional coordinates):
Mg: 0.000 0.000 0.000
Cu: 0.500 0.500 0.500
Ru: 0.000 0.500 0.500
Ru: 0.500 0.000 0.500
Ru: 0.500 0.500 0.000

Values from the calculation:
* calculated total energy: -28.96 eV/cell
* formation energy: 1522 meV/atom
* symmetry: Pm-3m
* total magnetic moment: 0.333 μB per atom

[8]
KCo2P2 | GGA-PBEsol | optimized geometry

a = 3.620 Å, b = 3.620 Å, c = 12.987 Å
α = 90.00°, β = 90.00°, γ = 90.00°
Atoms (fractional coordinates):
K: 0.000 0.000 0.000
K: 0.500 0.500 0.500
Co: 0.000 0.500 0.250
Co: 0.000 0.500 0.750
Co: 0.500 0.000 0.250
Co: 0.500 0.000 0.750
P: 0.000 0.000 0.343
P: 0.000 0.000 0.657
P: 0.500 0.500 0.157
P: 0.500 0.500 0.843

Values from the calculation:
* calculated total energy: -62.62 eV/cell
* formation energy: -624 meV/atom
* symmetry: I4/mmm
* total magnetic moment: 0.000 μB per atom

[9]
K2HoPWO8 | GGA-PBEsol | optimized geometry

a = 12.042 Å, b = 12.042 Å, c = 12.042 Å
α = 146.94°, β = 119.95°, γ = 70.28°
Atoms (fractional coordinates):
K: 0.076 0.686 0.449
K: 0.236 0.186 0.109
K: 0.264 0.373 0.949
K: 0.424 0.873 0.609
K: 0.576 0.127 0.391
K: 0.736 0.627 0.051
K: 0.764 0.814 0.891
K: 0.924 0.314 0.551
Ho: 0.176 0.750 0.926
Ho: 0.324 0.250 0.574
Ho: 0.676 0.750 0.426
Ho: 0.824 0.250 0.074
P: 0.068 0.250 0.318
P: 0.432 0.750 0.182
P: 0.568 0.250 0.818
P: 0.932 0.750 0.682
W: 0.086 0.836 0.250
W: 0.414 0.664 0.750
W: 0.586 0.336 0.250
W: 0.914 0.164 0.750
O: 0.053 0.327 0.256
O: 0.071 0.827 0.774
O: 0.083 0.163 0.816
O: 0.110 0.673 0.009
O: 0.143 0.418 0.575
O: 0.153 0.733 0.316
O: 0.157 0.082 0.225
O: 0.164 0.102 0.491
O: 0.336 0.827 0.938
O: 0.343 0.568 0.925
O: 0.347 0.663 0.581
O: 0.357 0.932 0.275
O: 0.390 0.398 0.562
O: 0.417 0.233 0.081
O: 0.429 0.203 0.756
O: 0.447 0.703 0.274
O: 0.553 0.297 0.726
O: 0.571 0.797 0.244
O: 0.583 0.767 0.919
O: 0.610 0.602 0.438
O: 0.643 0.068 0.725
O: 0.653 0.337 0.419
O: 0.657 0.432 0.075
O: 0.664 0.173 0.062
O: 0.836 0.898 0.509
O: 0.843 0.918 0.775
O: 0.847 0.267 0.684
O: 0.857 0.582 0.425
O: 0.890 0.327 0.991
O: 0.917 0.837 0.184
O: 0.929 0.173 0.226
O: 0.947 0.673 0.744

Values from the calculation:
* calculated total energy: -410.78 eV/cell
* symmetry: Ibca
* total magnetic moment: 0.000 μB per atom

[10]
Ta2CrSi6 | GGA-PBEsol | optimized geometry

a = 4.691 Å, b = 4.691 Å, c = 6.453 Å
α = 90.00°, β = 90.00°, γ = 121.05°
Atoms (fractional coordinates):
Ta: 0.000 0.500 0.164
Ta: 0.500 0.000 0.836
Cr: 0.000 0.000 0.500
Si: 0.177 0.331 0.825
Si: 0.331 0.177 0.175
Si: 0.340 0.660 0.500
Si: 0.660 0.340 0.500
Si: 0.669 0.823 0.175
Si: 0.823 0.669 0.825

Values from the calculation:
* calculated total energy: -74.17 eV/cell
* symmetry: C222
* total magnetic moment: 0.000 μB per atom

[11]
KSm2CuS4 | GGA-PBEsol | optimized geometry

a = 7.072 Å, b = 7.072 Å, c = 13.674 Å
α = 90.00°, β = 90.00°, γ = 147.45°
Atoms (fractional coordinates):
K: 0.108 0.892 0.750
K: 0.892 0.108 0.250
Sm: 0.365 0.635 0.562
Sm: 0.365 0.635 0.938
Sm: 0.635 0.365 0.062
Sm: 0.635 0.365 0.438
Cu: 0.161 0.839 0.250
Cu: 0.839 0.161 0.750
S: 0.000 0.000 0.000
S: 0.000 0.000 0.500
S: 0.264 0.736 0.115
S: 0.264 0.736 0.385
S: 0.432 0.568 0.750
S: 0.568 0.432 0.250
S: 0.736 0.264 0.615
S: 0.736 0.264 0.885

Values from the calculation:
* calculated total energy: -93.19 eV/cell
* symmetry: Cmcm
* total magnetic moment: 0.000 μB per atom

[12]
La2AlTl | GGA-PBEsol | optimized geometry

a = 4.165 Å, b = 4.993 Å, c = 10.527 Å
α = 90.00°, β = 90.00°, γ = 90.00°
Atoms (fractional coordinates):
La: 0.000 0.000 0.000
La: 0.000 0.500 0.221
La: 0.500 0.000 0.721
La: 0.500 0.500 0.500
Al: 0.000 0.000 0.452
Al: 0.500 0.500 0.952
Tl: 0.000 0.500 0.772
Tl: 0.500 0.000 0.272

Values from the calculation:
* calculated total energy: -37.98 eV/cell
* formation energy: -394 meV/atom
* symmetry: Imm2
* total magnetic moment: 0.000 μB per atom

[13]
CuRhNF2 | GGA-PBEsol | optimized geometry

a = 4.193 Å, b = 4.193 Å, c = 3.613 Å
α = 90.00°, β = 90.00°, γ = 90.00°
Atoms (fractional coordinates):
Cu: 0.000 0.000 0.000
Rh: 0.500 0.500 0.500
N: 0.500 0.500 0.000
F: 0.000 0.500 0.500
F: 0.500 0.000 0.500

Values from the calculation:
* calculated total energy: -25.35 eV/cell
* symmetry: P4/mmm
* energy above the most stable polymorph in this dataset: 0 meV/atom
* total magnetic moment: 0.000 μB per atom

[14]
YCrRu2 | GGA-PBEsol | optimized geometry

a = 2.822 Å, b = 2.822 Å, c = 26.561 Å
α = 90.00°, β = 90.00°, γ = 120.00°
Atoms (fractional coordinates):
Y: 0.000 0.000 0.000
Y: 0.333 0.667 0.667
Y: 0.667 0.333 0.333
Cr: 0.000 0.000 0.500
Cr: 0.333 0.667 0.167
Cr: 0.667 0.333 0.833
Ru: 0.000 0.000 0.238
Ru: 0.000 0.000 0.762
Ru: 0.333 0.667 0.429
Ru: 0.333 0.667 0.905
Ru: 0.667 0.333 0.095
Ru: 0.667 0.333 0.571

Values from the calculation:
* calculated total energy: -106.88 eV/cell
* formation energy: 446 meV/atom
* symmetry: R-3m
* energy above the most stable polymorph in this dataset: 248 meV/atom
* total magnetic moment: 0.000 μB per atom

[15]
ScAg2Cl | GGA-PBEsol | optimized geometry

a = 4.695 Å, b = 4.695 Å, c = 6.655 Å
α = 90.00°, β = 90.00°, γ = 90.00°
Atoms (fractional coordinates):
Sc: 0.000 0.000 0.000
Sc: 0.500 0.500 0.500
Ag: 0.000 0.000 0.500
Ag: 0.000 0.500 0.250
Ag: 0.500 0.000 0.750
Ag: 0.500 0.500 0.000
Cl: 0.000 0.500 0.750
Cl: 0.500 0.000 0.250

Values from the calculation:
* calculated total energy: -32.52 eV/cell
* symmetry: I-4m2
* energy above the most stable polymorph in this dataset: 144 meV/atom
* total magnetic moment: 0.000 μB per atom

[16]
MoAuCl2 | GGA-PBEsol | optimized geometry

a = 3.015 Å, b = 5.269 Å, c = 9.311 Å
α = 90.00°, β = 90.00°, γ = 90.00°
Atoms (fractional coordinates):
Mo: 0.000 0.000 0.000
Mo: 0.500 0.500 0.000
Au: 0.000 0.500 0.242
Au: 0.500 0.000 0.242
Cl: 0.000 0.000 0.467
Cl: 0.000 0.500 0.802
Cl: 0.500 0.000 0.802
Cl: 0.500 0.500 0.467

Values from the calculation:
* calculated total energy: -38.38 eV/cell
* symmetry: Cmm2
* energy above the most stable polymorph in this dataset: 0 meV/atom
* total magnetic moment: 0.082 μB per atom

[17]
RbMgGeH2 | GGA-PBEsol | optimized geometry

a = 4.557 Å, b = 4.557 Å, c = 5.007 Å
α = 90.00°, β = 90.00°, γ = 90.00°
Atoms (fractional coordinates):
Rb: 0.000 0.000 0.000
Mg: 0.500 0.500 0.000
Ge: 0.500 0.500 0.500
H: 0.000 0.500 0.500
H: 0.500 0.000 0.500

Values from the calculation:
* calculated total energy: -11.88 eV/cell
* symmetry: P4/mmm
* total magnetic moment: 0.000 μB per atom

[18]
Na2SrCoW | GGA-PBEsol | optimized geometry

a = 5.294 Å, b = 5.294 Å, c = 4.568 Å
α = 90.00°, β = 90.00°, γ = 90.00°
Atoms (fractional coordinates):
Na: 0.000 0.500 0.000
Na: 0.500 0.000 0.000
Sr: 0.000 0.000 0.000
Co: 0.000 0.000 0.500
W: 0.500 0.500 0.500

Values from the calculation:
* calculated total energy: -14.60 eV/cell
* formation energy: 2317 meV/atom
* symmetry: P4/mmm
* total magnetic moment: 0.938 μB per atom

[19]
H2Ru2Rh | GGA-PBEsol | optimized geometry

a = 3.385 Å, b = 3.385 Å, c = 8.024 Å
α = 90.00°, β = 90.00°, γ = 90.00°
Atoms (fractional coordinates):
H: 0.000 0.500 0.250
H: 0.000 0.500 0.750
H: 0.500 0.000 0.250
H: 0.500 0.000 0.750
Ru: 0.000 0.000 0.159
Ru: 0.000 0.000 0.841
Ru: 0.500 0.500 0.341
Ru: 0.500 0.500 0.659
Rh: 0.000 0.000 0.500
Rh: 0.500 0.500 0.000

Values from the calculation:
* calculated total energy: -67.77 eV/cell
* symmetry: I4/mmm
* total magnetic moment: 0.000 μB per atom

[20]
MnGeMoH2 | GGA-PBEsol | optimized geometry

a = 3.460 Å, b = 3.460 Å, c = 5.119 Å
α = 90.00°, β = 90.00°, γ = 90.00°
Atoms (fractional coordinates):
Mn: 0.000 0.000 0.000
Ge: 0.500 0.500 0.500
Mo: 0.000 0.000 0.500
H: 0.000 0.500 0.000
H: 0.500 0.000 0.000

Values from the calculation:
* calculated total energy: -30.20 eV/cell
* symmetry: P4/mmm
* total magnetic moment: 0.511 μB per atom

[21]
MnTc2Ru | GGA-PBEsol | optimized geometry

a = 3.045 Å, b = 4.152 Å, c = 8.441 Å
α = 90.00°, β = 90.00°, γ = 90.00°
Atoms (fractional coordinates):
Mn: 0.000 0.000 0.000
Mn: 0.500 0.500 0.500
Tc: 0.000 0.500 0.265
Tc: 0.000 0.500 0.735
Tc: 0.500 0.000 0.235
Tc: 0.500 0.000 0.765
Ru: 0.000 0.000 0.500
Ru: 0.500 0.500 0.000

Values from the calculation:
* calculated total energy: -83.34 eV/cell
* formation energy: 199 meV/atom
* symmetry: Immm
* energy above the most stable polymorph in this dataset: 113 meV/atom
* total magnetic moment: 0.657 μB per atom

[22]
Ba2AgMo | GGA-PBEsol | optimized geometry

a = 3.862 Å, b = 3.862 Å, c = 8.177 Å
α = 90.00°, β = 90.00°, γ = 90.00°
Atoms (fractional coordinates):
Ba: 0.000 0.000 0.248
Ba: 0.000 0.000 0.752
Ag: 0.500 0.500 0.500
Mo: 0.500 0.500 0.000

Values from the calculation:
* calculated total energy: -16.20 eV/cell
* formation energy: 794 meV/atom
* symmetry: P4/mmm
* energy above the most stable polymorph in this dataset: 0 meV/atom
* total magnetic moment: 0.716 μB per atom

[23]
Ca2LaNi | GGA-PBEsol | optimized geometry

a = 3.712 Å, b = 4.082 Å, c = 16.470 Å
α = 90.00°, β = 90.00°, γ = 90.00°
Atoms (fractional coordinates):
Ca: 0.000 0.000 0.000
Ca: 0.000 0.500 0.500
Ca: 0.500 0.000 0.332
Ca: 0.500 0.500 0.832
La: 0.000 0.000 0.676
La: 0.000 0.500 0.176
Ni: 0.500 0.000 0.152
Ni: 0.500 0.500 0.652

Values from the calculation:
* calculated total energy: -32.13 eV/cell
* formation energy: -74 meV/atom
* symmetry: Amm2
* energy above the most stable polymorph in this dataset: 0 meV/atom
* total magnetic moment: 0.000 μB per atom

[24]
KCrP2Cl | GGA-PBEsol | optimized geometry

a = 5.274 Å, b = 5.274 Å, c = 5.238 Å
α = 90.00°, β = 90.00°, γ = 90.00°
Atoms (fractional coordinates):
K: 0.000 0.000 0.000
Cr: 0.500 0.500 0.500
P: 0.000 0.500 0.000
P: 0.500 0.000 0.000
Cl: 0.000 0.000 0.500

Values from the calculation:
* calculated total energy: -17.08 eV/cell
* symmetry: P4/mmm
* total magnetic moment: 0.462 μB per atom